## Fe2O3F (PBE+U)

Data for crystalline Fe2O3F at its relaxed geometry.

Structure (POSCAR):
```
Fe2O3F
1.0
-2.0410 -1.9206 0.9706
3.0702 -1.7459 3.0012
-2.7875 6.2369 6.4799
O Fe F
6 4 2
Direct
0.0000 0.7996 0.7778
0.5000 0.7242 0.5284
0.5000 0.2996 0.2222
0.0000 0.1698 0.9671
0.0000 0.2242 0.4716
0.5000 0.6698 0.0329
0.5000 0.0289 0.3846
0.5000 0.9665 0.8787
0.0000 0.5289 0.6154
0.0000 0.4665 0.1213
0.0000 0.8114 0.2851
0.5000 0.3114 0.7149
```

Values from the calculation:
As for the symmetry: Pmn2_1 (31).


## Fe6O5F7 (PBE+U)

Data for crystalline Fe6O5F7 at its relaxed geometry.

Structure (POSCAR):
```
Fe6O5F7
1.0
-3.5788 -4.2297 1.3135
2.8429 -4.6448 1.7108
-0.5523 -0.8463 7.6652
O F Fe
5 7 6
Direct
0.9956 0.3745 0.3195
0.2979 0.7067 0.0005
0.6251 0.0035 0.6800
0.6903 0.3149 0.0038
0.4458 0.4335 0.3802
0.5658 0.5554 0.6265
0.2250 0.2356 0.9511
0.0908 0.1066 0.7111
0.8881 0.8992 0.2883
0.0232 0.6175 0.6789
0.7695 0.7809 0.0369
0.3816 0.9717 0.3255
0.6492 0.6632 0.8418
0.6798 0.6345 0.3277
0.3537 0.3094 0.6538
0.9949 0.0131 0.0015
0.9769 0.0185 0.4948
0.3470 0.3613 0.1782
```

Values from the calculation:
As for the symmetry: P1 (1).


Number 1: energy relative to the lowest polymorph listed for this composition 174 meV/atom, calculated volume 10.786 Å³ per atom. Number 2: energy relative to the lowest polymorph listed for this composition 85 meV/atom, calculated volume 11.771 Å³ per atom.